Material: Tb2Nd4DyY2
Method: DFT, PBE
State: relaxed

Summary:
E_form in eV per atom: 0.02
Mass density in g cm⁻³: 6.8
Size of the total moment in μB per cell: 0.00
SG: No. 12

Unit cell a=8.086 b=8.086 c=8.077 alpha=107.49 beta=107.49 gamma=36.88
Fractional positions:
Tb 0.167 0.167 0.000
Tb 0.833 0.833 0.000
Nd 0.055 0.055 0.331
Nd 0.278 0.278 0.668
Nd 0.722 0.722 0.332
Nd 0.945 0.945 0.669
Dy 0.500 0.500 0.000
Y 0.389 0.389 0.331
Y 0.611 0.611 0.669